# 1
A plane-wave DFT calculation with PBE was carried out for an optimized crystal structure of NbO2F.

```
16
Lattice="5.309 0.000 0.000 0.000 5.428 0.000 0.000 0.000 9.656" Properties=species:S:1:pos:R:3 pbc="T T T"
Nb 0.644 0.877 1.236
Nb 2.010 4.551 6.065
Nb 3.299 1.837 8.420
Nb 4.664 3.591 3.592
O 0.339 2.320 2.368
O 0.619 3.571 4.940
O 2.036 1.857 0.112
O 2.315 3.108 7.196
O 2.994 0.394 7.288
O 3.273 4.571 4.717
O 4.690 0.857 9.545
O 4.969 5.034 2.460
F 0.621 0.474 6.165
F 2.033 4.955 1.337
F 3.275 2.241 3.491
F 4.687 3.188 8.319
```

Output
space group = P2_12_12_1 (19)
energy = -32.5 eV per formula unit
spin magnetization = 0.0 μB per formula unit
D(E_F) = 0.0000 states/eV/atom
formation energy without anion corrections = -2.67 eV/atom


# 2
A plane-wave DFT calculation with PBE was carried out for an optimized crystal structure of InSnS2Cl.

```
5
Lattice="5.173 0.000 0.000 0.000 5.173 0.000 0.000 0.000 5.331" Properties=species:S:1:pos:R:3 pbc="T T T"
In 0.000 0.000 0.000
Sn 2.586 2.586 2.666
S 0.000 2.586 2.666
S 2.586 0.000 2.666
Cl 2.586 2.586 0.000
```

Output
space group = P4/mmm (123)
energy = -18.1 eV per formula unit
spin magnetization = 0.0 μB per formula unit
distance to the lowest polymorph of the same formula = 187 kJ/mol of formula units
D(E_F) = 0.3609 states/eV/atom
formation energy without anion corrections = -0.24 eV/atom


# 3
A plane-wave DFT calculation with PBE was carried out for an optimized crystal structure of HfMg6NbO8.

```
16
Lattice="4.414 0.000 0.000 0.000 4.414 0.000 0.000 0.000 8.806" Properties=species:S:1:pos:R:3 pbc="T T T"
Hf 0.000 0.000 0.000
Mg 0.000 2.207 2.291
Mg 0.000 2.207 6.515
Mg 2.207 0.000 2.291
Mg 2.207 0.000 6.515
Mg 2.207 2.207 0.000
Mg 2.207 2.207 4.403
Nb 0.000 0.000 4.403
O 0.000 0.000 2.087
O 0.000 0.000 6.718
O 0.000 2.207 0.000
O 0.000 2.207 4.403
O 2.207 0.000 0.000
O 2.207 0.000 4.403
O 2.207 2.207 2.208
O 2.207 2.207 6.598
```

Output
space group = P4/mmm (123)
energy = -104.9 eV per formula unit
spin magnetization = 0.6 μB per formula unit
distance to the lowest polymorph of the same formula = 147 kJ/mol of formula units
D(E_F) = 0.3091 states/eV/atom
formation energy without anion corrections = -2.23 eV/atom


# 4
A plane-wave DFT calculation with PBE was carried out for an optimized crystal structure of YTmCd4.

```
6
Lattice="3.425 0.000 0.000 0.000 8.594 0.000 -0.016 0.000 4.950" Properties=species:S:1:pos:R:3 pbc="T T T"
Y 0.000 0.000 0.000
Tm -0.008 4.297 2.475
Cd 1.704 1.444 2.475
Cd 1.712 2.876 0.000
Cd 1.712 5.719 0.000
Cd 1.704 7.150 2.475
```

Output
space group = P2/m (10)
energy = -16.5 eV per formula unit
spin magnetization = 0.0 μB per formula unit
distance to the lowest polymorph of the same formula = 0 kJ/mol of formula units
D(E_F) = 0.6729 states/eV/atom
formation energy = -312 meV per atom


# 5
A plane-wave DFT calculation with PBE was carried out for an optimized crystal structure of TmHf3Pt12.

```
16
Lattice="4.042 0.000 0.000 0.000 4.042 0.000 0.000 0.000 16.228" Properties=species:S:1:pos:R:3 pbc="T T T"
Tm 0.000 0.000 0.000
Hf 0.000 0.000 4.056
Hf 0.000 0.000 8.114
Hf 0.000 0.000 12.172
Pt 0.000 2.021 2.114
Pt 0.000 2.021 6.112
Pt 0.000 2.021 10.116
Pt 0.000 2.021 14.114
Pt 2.021 0.000 2.114
Pt 2.021 0.000 6.112
Pt 2.021 0.000 10.116
Pt 2.021 0.000 14.114
Pt 2.021 2.021 0.000
Pt 2.021 2.021 4.115
Pt 2.021 2.021 8.114
Pt 2.021 2.021 12.114
```

Output
space group = P4/mmm (123)
energy = -124.8 eV per formula unit
spin magnetization = 0.0 μB per formula unit
D(E_F) = 0.1652 states/eV/atom
formation energy = -1124 meV per atom


# 6
A plane-wave DFT calculation with PBE was carried out for an optimized crystal structure of SrAgN.

```
6
Lattice="5.336 0.000 0.000 0.000 3.663 0.000 -2.457 0.000 6.385" Properties=species:S:1:pos:R:3 pbc="T T T"
Sr 0.102 0.916 2.288
Sr 2.777 2.747 4.096
Ag 0.135 0.916 5.384
Ag 2.744 2.747 1.001
N 0.102 2.747 4.068
N 2.776 0.916 2.316
```

Output
space group = P2_1/m (11)
energy = -13.0 eV per formula unit
spin magnetization = 0.0 μB per formula unit
D(E_F) = 0.1517 states/eV/atom
formation energy without anion corrections = -0.03 eV/atom


# 7
A plane-wave DFT calculation with PBE was carried out for an optimized crystal structure of LaAsIr2.

```
4
Lattice="3.119 0.000 0.000 0.000 3.119 0.000 0.000 0.000 7.627" Properties=species:S:1:pos:R:3 pbc="T T T"
La 0.000 0.000 0.000
As 0.000 0.000 3.814
Ir 1.560 1.560 2.291
Ir 1.560 1.560 5.336
```

Output
space group = P4/mmm (123)
energy = -27.9 eV per formula unit
spin magnetization = 0.0 μB per formula unit
D(E_F) = 0.3983 states/eV/atom
formation energy = -160 meV per atom


# 8
A plane-wave DFT calculation with PBE was carried out for an optimized crystal structure of La2GaCoBi.

```
5
Lattice="5.331 0.000 0.000 0.000 5.331 0.000 0.000 0.000 4.666" Properties=species:S:1:pos:R:3 pbc="T T T"
La 0.000 2.666 0.000
La 2.666 0.000 0.000
Ga 0.000 0.000 2.333
Co 0.000 0.000 0.000
Bi 2.666 2.666 2.333
```

Output
space group = P4/mmm (123)
energy = -27.1 eV per formula unit
spin magnetization = 0.0 μB per formula unit
distance to the lowest polymorph of the same formula = 0 kJ/mol of formula units
D(E_F) = 0.4881 states/eV/atom
formation energy = -641 meV per atom


# 9
A plane-wave DFT calculation with PBE was carried out for an optimized crystal structure of Tb2NdDyEr6.

```
20
Lattice="4.509 -7.484 0.000 4.509 7.484 0.000 -1.226 0.000 9.431" Properties=species:S:1:pos:R:3 pbc="T T T"
Tb 2.193 0.789 0.429
Tb 1.580 -0.789 5.145
Tb 6.210 0.789 4.286
Tb 5.597 -0.789 9.001
Nd 4.202 7.124 2.358
Nd 3.589 -7.124 7.073
Dy 3.589 1.362 7.073
Dy 4.202 -1.362 2.358
Er 2.428 4.102 1.726
Er 3.245 4.663 5.259
Er 3.933 4.663 8.887
Er 3.140 1.619 3.599
Er 5.976 4.102 2.989
Er 5.264 1.619 1.116
Er 2.527 -1.619 8.314
Er 1.815 -4.102 6.442
Er 4.651 -1.619 5.832
Er 3.858 -4.663 0.544
Er 4.546 -4.663 4.171
Er 5.363 -4.102 7.704
```

Output
space group = C2/c (15)
energy = -44.8 eV per formula unit
spin magnetization = 0.0 μB per formula unit
D(E_F) = 1.4530 states/eV/atom
formation energy = 121 meV per atom


# 10
A plane-wave DFT calculation with PBE was carried out for an optimized crystal structure of CaPmGa.

```
3
Lattice="0.000 3.625 3.625 3.625 0.000 3.625 3.625 3.625 0.000" Properties=species:S:1:pos:R:3 pbc="T T T"
Ca 0.000 0.000 0.000
Pm 3.625 3.625 3.625
Ga 1.812 1.812 1.812
```

Output
space group = F-43m (216)
energy = -10.5 eV per formula unit
spin magnetization = 0.0 μB per formula unit
distance to the lowest polymorph of the same formula = 49 kJ/mol of formula units
D(E_F) = 0.5520 states/eV/atom
formation energy = -256 meV per atom


# 11
A plane-wave DFT calculation with PBE was carried out for an optimized crystal structure of CaLu2In.

```
4
Lattice="4.859 0.000 0.000 0.000 4.859 0.000 0.000 0.000 4.787" Properties=species:S:1:pos:R:3 pbc="T T T"
Ca 0.000 0.000 0.000
Lu 0.000 2.430 2.394
Lu 2.430 0.000 2.394
In 2.430 2.430 0.000
```

Output
space group = P4/mmm (123)
energy = -14.5 eV per formula unit
spin magnetization = 0.0 μB per formula unit
distance to the lowest polymorph of the same formula = 0 kJ/mol of formula units
D(E_F) = 0.8045 states/eV/atom
formation energy = -172 meV per atom


# 12
A plane-wave DFT calculation with PBE was carried out for an optimized crystal structure of GeSbS2.

```
4
Lattice="0.000 3.402 3.402 3.402 0.000 3.402 3.402 3.402 0.000" Properties=species:S:1:pos:R:3 pbc="T T T"
Ge 0.000 0.000 0.000
Sb 3.402 3.402 3.402
S 1.701 1.701 1.701
S 5.104 5.104 5.104
```

Output
space group = Fm-3m (225)
energy = -16.4 eV per formula unit
spin magnetization = 0.0 μB per formula unit
distance to the lowest polymorph of the same formula = 85 kJ/mol of formula units
D(E_F) = 0.2381 states/eV/atom
formation energy without anion corrections = 0.14 eV/atom


# 13
A plane-wave DFT calculation with PBE was carried out for an optimized crystal structure of SrZrRh2.

```
4
Lattice="2.212 1.277 5.555 -2.212 1.277 5.555 0.000 -2.555 5.555" Properties=species:S:1:pos:R:3 pbc="T T T"
Sr 0.000 0.000 0.000
Zr 0.000 0.000 8.332
Rh 0.000 0.000 3.526
Rh 0.000 0.000 13.138
```

Output
space group = R-3m (166)
energy = -26.4 eV per formula unit
spin magnetization = 0.0 μB per formula unit
D(E_F) = 0.7105 states/eV/atom
formation energy = -371 meV per atom


# 14
A plane-wave DFT calculation with PBE was carried out for an optimized crystal structure of Cs2CdSn4Pb3.

```
10
Lattice="5.256 0.000 0.000 0.000 5.256 0.000 0.000 0.000 13.322" Properties=species:S:1:pos:R:3 pbc="T T T"
Cs 0.000 2.628 3.282
Cs 2.628 0.000 10.040
Cd 2.628 2.628 0.000
Sn 0.000 0.000 6.661
Sn 0.000 2.628 11.689
Sn 2.628 0.000 1.633
Sn 2.628 2.628 6.661
Pb 0.000 0.000 0.000
Pb 0.000 2.628 8.416
Pb 2.628 0.000 4.906
```

Output
space group = P-4m2 (115)
energy = -31.0 eV per formula unit
spin magnetization = 0.0 μB per formula unit
D(E_F) = 0.4114 states/eV/atom
formation energy = -120 meV per atom


# 15
A plane-wave DFT calculation with PBE was carried out for an optimized crystal structure of Be2NbCu2.

```
10
Lattice="6.902 0.000 0.000 0.000 6.902 0.000 0.000 0.000 2.485" Properties=species:S:1:pos:R:3 pbc="T T T"
Be 1.191 2.260 0.000
Be 2.260 5.711 0.000
Be 4.643 1.191 0.000
Be 5.711 4.643 0.000
Nb 0.000 0.000 1.243
Nb 3.451 3.451 1.243
Cu 0.862 4.313 1.243
Cu 2.589 0.862 1.243
Cu 4.313 6.041 1.243
Cu 6.041 2.589 1.243
```

Output
space group = P4/mbm (127)
energy = -25.6 eV per formula unit
spin magnetization = 0.0 μB per formula unit
distance to the lowest polymorph of the same formula = 27 kJ/mol of formula units
D(E_F) = 0.5280 states/eV/atom
formation energy = 27 meV per atom


# 16
A plane-wave DFT calculation with PBE was carried out for an optimized crystal structure of Pm4Dy5Cd.

```
10
Lattice="-5.355 5.355 2.886 5.355 -5.355 2.886 5.355 5.355 -2.886" Properties=species:S:1:pos:R:3 pbc="T T T"
Pm 3.397 0.000 0.000
Pm 7.313 0.000 0.000
Pm 0.000 3.397 0.000
Pm 0.000 7.313 0.000
Dy 3.385 3.385 0.064
Dy 1.970 -1.970 2.950
Dy -1.970 1.970 2.950
Dy 1.970 1.970 2.950
Dy 0.000 0.000 4.671
Cd 0.000 0.000 1.674
```

Output
space group = I4mm (107)
energy = -41.8 eV per formula unit
spin magnetization = 0.0 μB per formula unit
distance to the lowest polymorph of the same formula = 155 kJ/mol of formula units
D(E_F) = 1.2867 states/eV/atom
formation energy = 112 meV per atom


# 17
A plane-wave DFT calculation with PBE was carried out for an optimized crystal structure of ZrTl2Ag.

```
4
Lattice="5.845 -1.556 0.000 5.845 1.556 0.000 -2.156 0.000 5.118" Properties=species:S:1:pos:R:3 pbc="T T T"
Zr 0.000 0.000 0.000
Tl 4.907 0.000 2.562
Tl 8.610 0.000 0.350
Ag 1.905 0.000 3.032
```

Output
space group = Cm (8)
energy = -15.8 eV per formula unit
spin magnetization = 0.0 μB per formula unit
distance to the lowest polymorph of the same formula = 28 kJ/mol of formula units
D(E_F) = 0.8729 states/eV/atom
formation energy = 82 meV per atom


# 18
A plane-wave DFT calculation with PBE was carried out for an optimized crystal structure of PmDyEr6Tm2.

```
20
Lattice="4.514 -7.441 0.000 4.514 7.441 0.000 -1.066 0.000 9.346" Properties=species:S:1:pos:R:3 pbc="T T T"
Pm 3.715 7.033 7.010
Pm 4.248 -7.033 2.337
Dy 4.248 1.343 2.337
Dy 3.715 -1.343 7.010
Er 1.909 4.067 6.374
Er 3.891 4.684 0.535
Er 4.604 4.684 4.138
Er 2.676 1.626 8.250
Er 5.520 4.067 7.645
Er 4.753 1.626 5.769
Er 3.209 -1.626 3.577
Er 2.442 -4.067 1.701
Er 5.286 -1.626 1.096
Er 3.358 -4.684 5.208
Er 4.071 -4.684 8.811
Er 6.053 -4.067 2.972
Tm 1.686 0.792 5.114
Tm 2.219 -0.792 0.441
Tm 5.743 0.792 8.905
Tm 6.276 -0.792 4.232
```

Output
space group = C2/c (15)
energy = -44.4 eV per formula unit
spin magnetization = 0.0 μB per formula unit
D(E_F) = 1.4909 states/eV/atom
formation energy = 123 meV per atom


# 19
A plane-wave DFT calculation with PBE was carried out for an optimized crystal structure of CaZr2Pt2.

```
10
Lattice="8.384 0.000 0.000 0.000 8.384 0.000 0.000 0.000 2.954" Properties=species:S:1:pos:R:3 pbc="T T T"
Ca 0.000 0.000 0.000
Ca 4.192 4.192 0.000
Zr 1.137 3.055 0.000
Zr 3.055 7.247 0.000
Zr 5.329 1.137 0.000
Zr 7.247 5.329 0.000
Pt 1.351 5.542 1.477
Pt 2.841 1.351 1.477
Pt 5.542 7.033 1.477
Pt 7.033 2.841 1.477
```

Output
space group = P4/mbm (127)
energy = -34.7 eV per formula unit
spin magnetization = 0.0 μB per formula unit
distance to the lowest polymorph of the same formula = 62 kJ/mol of formula units
D(E_F) = 1.0145 states/eV/atom
formation energy = -710 meV per atom